(1)
DFT (GGA-PBEsol) results for an optimized crystal structure of CrGePdO2.

a = 3.5405 Å, b = 3.5405 Å, c = 5.3289 Å
α = 90.00°, β = 90.00°, γ = 90.00°
With the nearest neighbours (Å) after each atom.
Positions (direct):
1 Cr 0.0000 0.0000 0.0000  4 O 1.77
2 Ge 0.5000 0.5000 0.5000  4 Pd 2.50
3 Pd 0.0000 0.0000 0.5000  4 Ge 2.50, 2 Cr 2.66
4 O 0.0000 0.5000 0.0000  2 Cr 1.77
5 O 0.5000 0.0000 0.0000  2 Cr 1.77

Values from the calculation:
Electronic total energy   -7.163 eV/atom
Crystal system   tetragonal
Energy relative to the elements, uncorrected   -836 meV/atom
DOS at the Fermi energy   2.91 states/eV per cell
Magnetization   0.0 μB/cell
Calculated volume   13.36 Å³ per atom

=====

(2)
DFT (GGA-PBEsol) results for an optimized crystal structure of Cr2ReGeO.

a = 4.6618 Å, b = 4.6618 Å, c = 3.5321 Å
α = 90.00°, β = 90.00°, γ = 90.00°
With the nearest neighbours (Å) after each atom.
Positions (direct):
1 Cr 0.0000 0.5000 0.0000  2 Ge 2.33
2 Cr 0.5000 0.0000 0.0000  2 Ge 2.33
3 Re 0.0000 0.0000 0.5000  8 Cr 2.92
4 Ge 0.5000 0.5000 0.0000  2 O 1.77
5 O 0.5000 0.5000 0.5000  2 Ge 1.77

Values from the calculation:
Electronic total energy   -7.490 eV/atom
Crystal system   tetragonal
Energy relative to the elements, uncorrected   1311 meV/atom
DOS at the Fermi energy   5.23 states/eV per cell
Magnetization   3.8 μB/cell
Calculated volume   15.35 Å³ per atom